Entry from OQMD: crystalline CsBeMoIr at its relaxed geometry (PBE-GGA).

POSCAR file:
```
CsBeMoIr
1.0
0.000 3.293 3.293
3.293 0.000 3.293
3.293 3.293 0.000
Ir Mo Be Cs
1 1 1 1
direct
0.500 0.500 0.500
0.250 0.250 0.250
0.750 0.750 0.750
0.000 0.000 0.000
```

- raw total energy (eV/f.u.) = -18.23
- energy above the lowest structure with this stoichiometry (eV per atom) = 0.000
- symmetry = No. 216
- magnetic moment (μB per formula unit) = 0.00